one) # PrSmCuAu | Alexandria via LeMat-Bulk | PBE | relaxed
data_PrSmCuAu
_chemical_formula_sum 'Pr4 Sm4 Cu4 Au4'
_cell_length_a 7.319
_cell_length_b 7.319
_cell_length_c 7.319
_cell_angle_alpha 90.00
_cell_angle_beta 90.00
_cell_angle_gamma 90.00
_symmetry_space_group_name_H-M 'F -4 3 m'
_symmetry_Int_Tables_number 216
_symmetry_space_group_name_Hall 'F -4 2 3'
loop_
_atom_site_label
_atom_site_fract_x
_atom_site_fract_y
_atom_site_fract_z
_atom_site_occupancy
Pr1 0.000 0.000 0.000 1
Sm1 0.000 0.000 0.500 1
Cu1 0.250 0.250 0.250 1
Au1 0.250 0.250 0.750 1
# Spin magnetization: 0.000 μB/atom
# Crystal system: cubic
# Theoretical density: 9.3 g/cm3

---

two) # PrSmCuAu | Alexandria via LeMat-Bulk | PBE | relaxed
data_PrSmCuAu
_chemical_formula_sum 'Pr2 Sm2 Cu2 Au2'
_cell_length_a 4.638
_cell_length_b 3.922
_cell_length_c 11.080
_cell_angle_alpha 90.00
_cell_angle_beta 90.00
_cell_angle_gamma 90.00
_symmetry_space_group_name_H-M 'A m m 2'
_symmetry_Int_Tables_number 38
_symmetry_space_group_name_Hall 'A 2 -2'
loop_
_atom_site_label
_atom_site_fract_x
_atom_site_fract_y
_atom_site_fract_z
_atom_site_occupancy
Pr1 0.000 0.000 0.000 1
Sm1 0.500 0.000 0.279 1
Cu1 0.500 0.000 0.564 1
Au1 0.000 0.000 0.717 1
# Spin magnetization: 0.000 μB/atom
# Crystal system: orthorhombic
# Theoretical density: 9.1 g/cm3

---

Bottom line: two), by a margin of 4.0 kJ/mol of atoms.

---

one) # Cu2PtAu2 | Alexandria via LeMat-Bulk | PBE | relaxed
data_Cu2PtAu2
_chemical_formula_sum 'Cu4 Pt2 Au4'
_cell_length_a 2.832
_cell_length_b 19.463
_cell_length_c 2.818
_cell_angle_alpha 90.00
_cell_angle_beta 90.00
_cell_angle_gamma 90.00
_symmetry_space_group_name_H-M 'C m m m'
_symmetry_Int_Tables_number 65
_symmetry_space_group_name_Hall '-C 2 2'
loop_
_atom_site_label
_atom_site_fract_x
_atom_site_fract_y
_atom_site_fract_z
_atom_site_occupancy
Cu1 0.000 0.090 0.000 1
Pt1 0.000 0.500 0.500 1
Au1 0.000 0.315 0.500 1
# Spin magnetization: 0.000 μB/atom
# Crystal system: orthorhombic
# Theoretical density: 15.3 g/cm3

---

two) # Cu2PtAu2 | Alexandria via LeMat-Bulk | PBE | relaxed
data_Cu2PtAu2
_chemical_formula_sum 'Cu4 Pt2 Au4'
_cell_length_a 7.061
_cell_length_b 7.061
_cell_length_c 3.105
_cell_angle_alpha 90.00
_cell_angle_beta 90.00
_cell_angle_gamma 90.00
_symmetry_space_group_name_H-M 'P 4/m b m'
_symmetry_Int_Tables_number 127
_symmetry_space_group_name_Hall '-P 4 2ab'
loop_
_atom_site_label
_atom_site_fract_x
_atom_site_fract_y
_atom_site_fract_z
_atom_site_occupancy
Cu1 0.126 0.374 0.000 1
Pt1 0.000 0.000 0.000 1
Au1 0.171 0.671 0.500 1
# Spin magnetization: 0.000 μB/atom
# Crystal system: tetragonal
# Theoretical density: 15.4 g/cm3

---

Bottom line: one), by a margin of 14.7 kJ/mol of atoms.